An optimized crystal structure of CsNiI2N. Source: Alexandria, functional GGA-PBEsol.

Structure (CIF):
```
data_CsNiI2N
_symmetry_space_group_name_H-M 'P 1'
_symmetry_Int_Tables_number 1
_cell_length_a 6.3044
_cell_length_b 6.3044
_cell_length_c 3.4516
_cell_angle_alpha 90.00
_cell_angle_beta 90.00
_cell_angle_gamma 90.00
loop_
_symmetry_equiv_pos_as_xyz
'x,y,z'
loop_
_atom_site_label
_atom_site_fract_x
_atom_site_fract_y
_atom_site_fract_z
Cs1 0.0000 0.0000 0.0000
Ni1 0.5000 0.5000 0.5000
I1 0.0000 0.5000 0.5000
I2 0.5000 0.0000 0.5000
N1 0.5000 0.5000 0.0000
```

Values from the calculation:
formation energy from raw total energies: -20 meV per atom

An optimized crystal structure of CsRuI2N. Source: Alexandria, functional GGA-PBEsol.

Structure (CIF):
```
data_CsRuI2N
_symmetry_space_group_name_H-M 'P 1'
_symmetry_Int_Tables_number 1
_cell_length_a 5.8988
_cell_length_b 5.8988
_cell_length_c 3.7513
_cell_angle_alpha 90.00
_cell_angle_beta 90.00
_cell_angle_gamma 90.00
loop_
_symmetry_equiv_pos_as_xyz
'x,y,z'
loop_
_atom_site_label
_atom_site_fract_x
_atom_site_fract_y
_atom_site_fract_z
Cs1 0.0000 0.0000 0.0000
Ru1 0.5000 0.5000 0.5000
I1 0.0000 0.5000 0.5000
I2 0.5000 0.0000 0.5000
N1 0.5000 0.5000 0.0000
```

Values from the calculation:
formation energy from raw total energies: -171 meV per atom
ΔE to the lowest computed polymorph: 0 meV per atom

An optimized crystal structure of CsRuI2N. Source: Alexandria, functional GGA-PBEsol.

Structure (CIF):
```
data_CsRuI2N
_symmetry_space_group_name_H-M 'P 1'
_symmetry_Int_Tables_number 1
_cell_length_a 6.6833
_cell_length_b 6.6833
_cell_length_c 4.5476
_cell_angle_alpha 90.00
_cell_angle_beta 90.00
_cell_angle_gamma 90.00
loop_
_symmetry_equiv_pos_as_xyz
'x,y,z'
loop_
_atom_site_label
_atom_site_fract_x
_atom_site_fract_y
_atom_site_fract_z
Cs1 0.0000 0.0000 0.0000
Ru1 0.5000 0.5000 0.5000
I1 0.0000 0.5000 0.0000
I2 0.5000 0.0000 0.0000
N1 0.0000 0.0000 0.5000
```

Values from the calculation:
formation energy from raw total energies: 2058 meV per atom
ΔE to the lowest computed polymorph: 2229 meV per atom